# ZnPbAu2, relaxed, DFT PBE
# - calculated formation energy (eV/f.u.) = -0.1
# - energy relative to the lowest polymorph listed for this composition (kJ per mole of atoms) = 9.5
# - SG = No. 6
data_ZnPbAu2
_cell_length_a 4.857
_cell_length_b 3.521
_cell_length_c 5.215
_cell_angle_alpha 89.99
_cell_angle_beta 90.00
_cell_angle_gamma 90.00
_space_group_name_H-M_alt 'P 1'
_space_group_IT_number 1
loop_
_space_group_symop_operation_xyz
'x,y,z'
loop_
_atom_site_label
_atom_site_type_symbol
_atom_site_fract_x
_atom_site_fract_y
_atom_site_fract_z
_atom_site_occupancy
Zn1 Zn 0.500 0.999 0.781 1
Pb1 Pb 0.000 0.500 0.467 1
Au1 Au 0.500 0.002 0.283 1
Au2 Au 0.000 0.999 0.969 1

# ZnPb2Au2, relaxed, DFT PBE
# - calculated formation energy (eV/f.u.) = -0.1
# - energy relative to the lowest polymorph listed for this composition (kJ per mole of atoms) = 2.7
# - SG = No. 127
data_ZnPb2Au2
_cell_length_a 6.976
_cell_length_b 6.976
_cell_length_c 4.866
_cell_angle_alpha 90.00
_cell_angle_beta 90.00
_cell_angle_gamma 90.00
_space_group_name_H-M_alt 'P 1'
_space_group_IT_number 1
loop_
_space_group_symop_operation_xyz
'x,y,z'
loop_
_atom_site_label
_atom_site_type_symbol
_atom_site_fract_x
_atom_site_fract_y
_atom_site_fract_z
_atom_site_occupancy
Zn1 Zn 0.500 0.500 0.000 1
Zn2 Zn 0.000 0.000 0.000 1
Au1 Au 0.146 0.354 0.000 1
Au2 Au 0.646 0.146 0.000 1
Au3 Au 0.354 0.854 0.000 1
Au4 Au 0.854 0.646 0.000 1
Pb1 Pb 0.173 0.673 0.500 1
Pb2 Pb 0.827 0.327 0.500 1
Pb3 Pb 0.327 0.173 0.500 1
Pb4 Pb 0.673 0.827 0.500 1

# Zn2PbAu, relaxed, DFT PBE
# - calculated formation energy (eV/f.u.) = 0.0
# - SG = No. 47
data_Zn2PbAu
_cell_length_a 4.588
_cell_length_b 3.685
_cell_length_c 5.206
_cell_angle_alpha 90.00
_cell_angle_beta 90.00
_cell_angle_gamma 90.00
_space_group_name_H-M_alt 'P 1'
_space_group_IT_number 1
loop_
_space_group_symop_operation_xyz
'x,y,z'
loop_
_atom_site_label
_atom_site_type_symbol
_atom_site_fract_x
_atom_site_fract_y
_atom_site_fract_z
_atom_site_occupancy
Au1 Au 0.500 0.250 0.250 1
Zn1 Zn 0.000 0.250 0.998 1
Zn2 Zn 0.000 0.250 0.502 1
Pb1 Pb 0.500 0.750 0.750 1

# Zn2PbAu, relaxed, DFT PBE
# - calculated formation energy (eV/f.u.) = -0.1
# - SG = No. 160
data_Zn2PbAu
_cell_length_a 4.435
_cell_length_b 4.435
_cell_length_c 5.794
_cell_angle_alpha 67.50
_cell_angle_beta 67.50
_cell_angle_gamma 60.00
_space_group_name_H-M_alt 'P 1'
_space_group_IT_number 1
loop_
_space_group_symop_operation_xyz
'x,y,z'
loop_
_atom_site_label
_atom_site_type_symbol
_atom_site_fract_x
_atom_site_fract_y
_atom_site_fract_z
_atom_site_occupancy
Pb1 Pb 0.491 0.491 0.526 1
Zn1 Zn 0.285 0.285 0.145 1
Zn2 Zn 0.039 0.039 0.882 1
Au1 Au 0.684 0.684 0.947 1